Entry 1:
Here is a relaxed Pr3Co2Ni4 crystal from Alexandria via LeMat-Bulk. Energies are from PBE.

Results
ΔE_f	-5.3	kcal/mol of atoms
uncorrected energy	-5.973	eV per atom
mass density	7.6	Mg/m³

abc: 4.0095 4.0095 24.4655
angles: 90.00 90.00 120.00
Space group P3m1 (No. 156)
One atom of each set of equivalent atoms:
Pr1 0.0000 0.0000 0.0000 x1
Pr2 0.0000 0.0000 0.1654 x1
Pr3 0.0000 0.0000 0.3309 x1
Pr4 0.0000 0.0000 0.5011 x1
Pr5 0.0000 0.0000 0.6666 x1
Pr6 0.0000 0.0000 0.8321 x1
Co1 0.3333 0.6667 0.4160 x1
Co2 0.6667 0.3333 0.0823 x1
Co3 0.6667 0.3333 0.4160 x1
Co4 0.6667 0.3333 0.7498 x1
Ni1 0.3333 0.6667 0.0825 x1
Ni2 0.3333 0.6667 0.2485 x1
Ni3 0.3333 0.6667 0.5835 x1
Ni4 0.3333 0.6667 0.7497 x1
Ni5 0.3333 0.6667 0.9160 x1
Ni6 0.6667 0.3333 0.2485 x1
Ni7 0.6667 0.3333 0.5835 x1
Ni8 0.6667 0.3333 0.9162 x1

***

Entry 2:
Here is a relaxed ZrCu2P crystal from Alexandria via LeMat-Bulk. Energies are from PBE.

Results
ΔE_f	-9.3	kcal/mol of atoms
uncorrected energy	-5.942	eV per atom
mass density	6.9	Mg/m³

abc: 3.7137 3.7137 4.3461
angles: 90.00 90.00 90.00
Space group P4/mmm (No. 123)
One atom of each set of equivalent atoms:
Zr1 0.0000 0.0000 0.0000 x1
Cu1 0.0000 0.5000 0.5000 x2
P1 0.5000 0.5000 0.0000 x1

***

Entry 3:
Here is a relaxed Ho6Sb3As2Se crystal from Alexandria via LeMat-Bulk. Energies are from PBE.

Results
E_form (uncorrected)	-1.365	eV per atom
uncorrected energy	-5.750	eV per atom
mass density	8.2	Mg/m³

abc: 18.4490 4.2193 8.4818
angles: 90.00 103.60 90.00
Space group C2/m (No. 12)
One atom of each set of equivalent atoms:
Ho1 0.0050 0.0000 0.2477 x4
Ho2 0.1661 0.5000 0.0954 x4
Ho3 0.1708 0.5000 0.5733 x4
Sb1 0.0000 0.5000 0.5000 x2
Sb2 0.1648 0.0000 0.8334 x4
As1 0.1665 0.0000 0.3323 x4
Se1 0.0000 0.5000 0.0000 x2

***

Entry 4:
Here is a relaxed CsTeSF2 crystal from Alexandria via LeMat-Bulk. Energies are from PBE.

Results
E_form (uncorrected)	-0.870	eV per atom
uncorrected energy	-3.243	eV per atom
mass density	4.2	Mg/m³

abc: 5.1476 5.1476 4.8824
angles: 90.00 90.00 90.00
Space group P4/mmm (No. 123)
One atom of each set of equivalent atoms:
Cs1 0.0000 0.0000 0.0000 x1
Te1 0.5000 0.5000 0.0000 x1
S1 0.5000 0.5000 0.5000 x1
F1 0.0000 0.5000 0.5000 x2

***

Entry 5:
Here is a relaxed Re2Hg crystal from Alexandria via LeMat-Bulk. Energies are from PBE.

Results
ΔE_f	20.8	kcal/mol of atoms
uncorrected energy	-7.498	eV per atom
mass density	17.9	Mg/m³

abc: 7.5144 7.5144 7.5144
angles: 90.00 90.00 90.00
Space group Fd-3m (No. 227, origin choice 2)
One atom of each set of equivalent atoms:
Re1 0.0000 0.0000 0.0000 x16
Hg1 0.1250 0.1250 0.6250 x8

***

Entry 6:
Here is a relaxed Ag2AuSe5 crystal from Alexandria via LeMat-Bulk. Energies are from PBE.

Results
E_form (uncorrected)	0.073	eV per atom
uncorrected energy	-3.227	eV per atom
mass density	7.8	Mg/m³

abc: 5.6847 11.0738 6.1431
angles: 90.00 116.71 90.00
Space group Cm (No. 8)
One atom of each set of equivalent atoms:
Ag1 0.0000 0.2500 0.0000 x4
Au1 0.2511 0.0000 0.5000 x2
Se1 0.0030 0.5000 0.0039 x2
Se2 0.2506 0.2354 0.5000 x4
Se3 0.2508 0.5000 0.5000 x2
Se4 0.4983 0.5000 0.9961 x2